Version one
Entry from Alexandria via LeMat-Bulk: crystalline La4PrSm3 at its relaxed geometry (PBE).

## Properties
**Total moment**: 0.000 μB/cell
**SG**: C2/m

Cell lengths 12.948, 12.948, 6.347 Å; angles 93.52, 93.52, 15.70 degrees
Sites, in units of the cell vectors:
La: 0.106 0.106 0.241
La: 0.279 0.279 0.757
La: 0.721 0.721 0.243
La: 0.894 0.894 0.759
Pr: 0.500 0.500 0.000
Sm: 0.000 0.000 0.500
Sm: 0.143 0.143 0.749
Sm: 0.857 0.857 0.251

=====

Version two
Entry from Alexandria via LeMat-Bulk: crystalline La4PrSm3 at its relaxed geometry (PBE).

## Properties
**Total moment**: 0.001 μB/cell
**SG**: Cmmm

Cell lengths 9.126, 9.126, 3.485 Å; angles 90.00, 90.00, 97.88 degrees
Sites, in units of the cell vectors:
La: 0.247 0.753 0.000
La: 0.249 0.249 0.500
La: 0.751 0.751 0.500
La: 0.753 0.247 0.000
Pr: 0.500 0.500 0.000
Sm: 0.000 0.000 0.000
Sm: 0.000 0.500 0.500
Sm: 0.500 0.000 0.500

=====

Stability check: which of them is least stable? version two.

=====

Version one
Entry from Alexandria via LeMat-Bulk: crystalline La3Pr4Sm5 at its relaxed geometry (PBE).

## Properties
**Total moment**: 0.000 μB/cell
**SG**: P-1

Cell lengths 6.388, 7.364, 9.051 Å; angles 89.99, 89.92, 89.91 degrees
Sites, in units of the cell vectors:
La: 0.000 0.000 0.000
La: 0.167 0.249 0.332
La: 0.833 0.751 0.668
Pr: 0.168 0.751 0.332
Pr: 0.332 0.500 0.668
Pr: 0.668 0.500 0.332
Pr: 0.832 0.249 0.668
Sm: 0.000 0.500 0.000
Sm: 0.335 0.000 0.668
Sm: 0.499 0.750 0.000
Sm: 0.501 0.250 0.000
Sm: 0.665 0.000 0.332

=====

Version two
Entry from Alexandria via LeMat-Bulk: crystalline La3Pr4Sm5 at its relaxed geometry (PBE).

## Properties
**Total moment**: 0.207 μB/cell
**SG**: C2/m

Cell lengths 8.805, 8.805, 9.542 Å; angles 114.42, 114.42, 40.65 degrees
Sites, in units of the cell vectors:
La: 0.000 0.000 0.000
La: 0.293 0.293 0.779
La: 0.707 0.707 0.221
Pr: 0.293 0.293 0.126
Pr: 0.418 0.418 0.560
Pr: 0.582 0.582 0.440
Pr: 0.707 0.707 0.874
Sm: 0.073 0.073 0.697
Sm: 0.173 0.173 0.393
Sm: 0.500 0.500 0.000
Sm: 0.827 0.827 0.607
Sm: 0.927 0.927 0.303

=====

Stability check: which of them is least stable? version two.

=====

Version one
Entry from Alexandria via LeMat-Bulk: crystalline LaPr3Sm7 at its relaxed geometry (PBE).

## Properties
**Total moment**: 0.000 μB/cell
**SG**: C2/m

Cell lengths 7.857, 7.857, 6.526 Å; angles 94.06, 94.06, 81.29 degrees
Sites, in units of the cell vectors:
La: 0.000 0.000 0.000
Pr: 0.325 0.675 0.500
Pr: 0.500 0.500 0.000
Pr: 0.675 0.325 0.500
Sm: 0.000 0.000 0.500
Sm: 0.074 0.420 0.760
Sm: 0.263 0.263 0.291
Sm: 0.420 0.074 0.760
Sm: 0.580 0.926 0.240
Sm: 0.737 0.737 0.709
Sm: 0.926 0.580 0.240

=====

Version two
Entry from Alexandria via LeMat-Bulk: crystalline LaPr3Sm7 at its relaxed geometry (PBE).

## Properties
**Total moment**: 0.000 μB/cell
**SG**: P3m1

Cell lengths 7.243, 7.243, 8.860 Å; angles 90.00, 90.00, 120.00 degrees
Sites, in units of the cell vectors:
La: 0.000 0.000 0.000
Pr: 0.167 0.334 0.341
Pr: 0.167 0.833 0.341
Pr: 0.666 0.833 0.341
Sm: 0.001 0.501 0.005
Sm: 0.333 0.166 0.674
Sm: 0.333 0.667 0.681
Sm: 0.499 0.501 0.005
Sm: 0.499 0.999 0.005
Sm: 0.834 0.166 0.674
Sm: 0.834 0.667 0.674

=====

Stability check: which of them is least stable? version one.

=====

Version one
Entry from Alexandria via LeMat-Bulk: crystalline La3Pr2Sm2 at its relaxed geometry (PBE).

## Properties
**Total moment**: 0.000 μB/cell
**SG**: P-1

Cell lengths 3.701, 6.419, 11.105 Å; angles 84.22, 89.89, 73.32 degrees
Sites, in units of the cell vectors:
La: 0.000 0.000 0.000
La: 0.145 0.713 0.571
La: 0.855 0.287 0.429
Pr: 0.286 0.429 0.143
Pr: 0.714 0.571 0.857
Sm: 0.428 0.143 0.714
Sm: 0.572 0.857 0.286

=====

Version two
Entry from Alexandria via LeMat-Bulk: crystalline La3Pr2Sm2 at its relaxed geometry (PBE).

## Properties
**Total moment**: 0.000 μB/cell
**SG**: Cmmm

Cell lengths 12.557, 12.557, 3.489 Å; angles 90.00, 90.00, 153.10 degrees
Sites, in units of the cell vectors:
La: 0.000 0.000 0.000
La: 0.283 0.717 0.000
La: 0.717 0.283 0.000
Pr: 0.140 0.860 0.500
Pr: 0.860 0.140 0.500
Sm: 0.426 0.574 0.000
Sm: 0.574 0.426 0.000

=====

Stability check: which of them is least stable? version two.